VASP calculation (PBE-GGA) on crystalline RbTlOs2O8 at its relaxed geometry.

a b c (Å): 6.2539 6.2539 8.7574
angles (deg): 90.00 90.00 120.00
Fractional positions:
Rb1 0.0000 0.0000 0.0000
Tl1 0.0000 0.0000 0.5000
Os1 0.3333 0.6667 0.7996
Os2 0.6667 0.3333 0.2004
O1 0.1754 0.3577 0.7342
O2 0.1823 0.8246 0.7342
O3 0.3333 0.6667 0.0009
O4 0.3577 0.1823 0.2658
O5 0.6423 0.8177 0.7342
O6 0.6667 0.3333 0.9991
O7 0.8177 0.1754 0.2658
O8 0.8246 0.6423 0.2658

**Formation energy (no corrections)**: -13.056 eV/f.u.



VASP calculation (PBE-GGA) on crystalline SnAsPd5 at its relaxed geometry.

a b c (Å): 6.5599 6.5599 7.8733
angles (deg): 117.31 117.31 80.29
Fractional positions:
Sn1 0.2212 0.7788 0.7500
Sn2 0.7788 0.2212 0.2500
As1 0.0000 0.5000 0.0000
As2 0.5000 0.0000 0.5000
Pd1 0.0328 0.3949 0.6620
Pd2 0.0885 0.9115 0.2500
Pd3 0.3566 0.3715 0.5149
Pd4 0.3715 0.3566 0.0149
Pd5 0.3949 0.0328 0.1620
Pd6 0.6051 0.9672 0.8380
Pd7 0.6285 0.6434 0.9851
Pd8 0.6434 0.6285 0.4851
Pd9 0.9115 0.0885 0.7500
Pd10 0.9672 0.6051 0.3380

**DFT formation energy**: -1.04 eV/f.u.



Record-wise raw total energy values, in eV per atom: -6.543, -5.094